A relaxed structure of NaYRuW2. Source: the Alexandria database, functional GGA-PBE.

It has space group P4/mmm (No. 123), with a = 4.774 Å, b = 4.774 Å, c = 5.380 Å, α = 90.00°, β = 90.00° and γ = 90.00°. The inequivalent atoms are Na at (0.000, 0.000, 0.000), Y at (0.500, 0.500, 0.000), Ru at (0.500, 0.500, 0.500) and W at (0.000, 0.500, 0.500).

The total energy comes out at -7.39 eV/atom. As for the formation energy: 1205 meV/atom.



A relaxed structure of NaY3Ru. Source: the Alexandria database, functional GGA-PBE.

It has space group Pm-3m (No. 221), with a = 5.272 Å, b = 5.272 Å, c = 5.272 Å, α = 90.00°, β = 90.00° and γ = 90.00°. The inequivalent atoms are Na at (0.000, 0.000, 0.000), Y at (0.000, 0.000, 0.500) and Ru at (0.500, 0.500, 0.500).

The calculation puts the distance to the lowest polymorph of the same formula at 1473.4 meV per atom. The total energy comes out at -4.58 eV/atom. As for the formation energy: 1419 meV/atom.



A relaxed structure of Na3YRu. Source: the Alexandria database, functional GGA-PBE.

It has space group Pm-3m (No. 221), with a = 5.932 Å, b = 5.932 Å, c = 5.932 Å, α = 90.00°, β = 90.00° and γ = 90.00°. The inequivalent atoms are Na at (0.000, 0.000, 0.500), Y at (0.000, 0.000, 0.000) and Ru at (0.500, 0.500, 0.500).

The calculation puts the distance to the lowest polymorph of the same formula at 799.3 meV per atom. The total energy comes out at -2.05 eV/atom. As for the formation energy: 1893 meV/atom.



A relaxed structure of NaYRu2. Source: the Alexandria database, functional GGA-PBE.

It has space group Fm-3m (No. 225), with a = 6.668 Å, b = 6.668 Å, c = 6.668 Å, α = 90.00°, β = 90.00° and γ = 90.00°. The inequivalent atoms are Na at (0.000, 0.000, 0.000), Y at (0.000, 0.000, 0.500) and Ru at (0.250, 0.250, 0.250).

The calculation puts the distance to the lowest polymorph of the same formula at 0.0 meV per atom. The total energy comes out at -6.01 eV/atom. As for the formation energy: 578 meV/atom.



A relaxed structure of Na2Y2Ru. Source: the Alexandria database, functional GGA-PBE.

It has space group I4/mmm (No. 139), with a = 5.629 Å, b = 5.629 Å, c = 7.615 Å, α = 90.00°, β = 90.00° and γ = 90.00°. The inequivalent atoms are Na at (0.000, 0.000, 0.143), Y at (0.000, 0.500, 0.250) and Ru at (0.000, 0.000, 0.500).

The calculation puts the distance to the lowest polymorph of the same formula at 90.4 meV per atom. The total energy comes out at -4.23 eV/atom. As for the formation energy: 736 meV/atom.



A relaxed structure of Na3YRu. Source: the Alexandria database, functional GGA-PBE.

It has space group Pm-3m (No. 221), with a = 5.269 Å, b = 5.269 Å, c = 5.269 Å, α = 90.00°, β = 90.00° and γ = 90.00°. The inequivalent atoms are Na at (0.000, 0.000, 0.500), Y at (0.500, 0.500, 0.500) and Ru at (0.000, 0.000, 0.000).

The calculation puts the distance to the lowest polymorph of the same formula at 0.0 meV per atom. The total energy comes out at -2.85 eV/atom. As for the formation energy: 1094 meV/atom.



A relaxed structure of NaYRu2. Source: the Alexandria database, functional GGA-PBE.

It has space group I-42d (No. 122), with a = 7.639 Å, b = 7.639 Å, c = 5.309 Å, α = 90.00°, β = 90.00° and γ = 90.00°. The inequivalent atoms are Na at (0.000, 0.000, 0.000), Y at (0.000, 0.000, 0.500) and Ru at (0.242, 0.250, 0.125).

The calculation puts the distance to the lowest polymorph of the same formula at 215.3 meV per atom. The total energy comes out at -5.79 eV/atom. As for the formation energy: 793 meV/atom.



A relaxed structure of NaY3Ru. Source: the Alexandria database, functional GGA-PBE.

It has space group Pm-3m (No. 221), with a = 5.447 Å, b = 5.447 Å, c = 5.447 Å, α = 90.00°, β = 90.00° and γ = 90.00°. The inequivalent atoms are Na at (0.000, 0.000, 0.000), Y at (0.000, 0.500, 0.500) and Ru at (0.500, 0.500, 0.500).

The calculation puts the distance to the lowest polymorph of the same formula at 0.0 meV per atom. The total energy comes out at -6.05 eV/atom. As for the formation energy: -55 meV/atom.



A relaxed structure of NaY2Ru2. Source: the Alexandria database, functional GGA-PBE.

It has space group P4/mbm (No. 127), with a = 7.892 Å, b = 7.892 Å, c = 3.514 Å, α = 90.00°, β = 90.00° and γ = 90.00°. The inequivalent atoms are Na at (0.000, 0.000, 0.000), Y at (0.156, 0.344, 0.500) and Ru at (0.135, 0.635, 0.000).

The total energy comes out at -6.51 eV/atom. As for the formation energy: 53 meV/atom.



A relaxed structure of Na2Y2Ru. Source: the Alexandria database, functional GGA-PBE.

It has space group P4/mbm (No. 127), with a = 7.208 Å, b = 7.208 Å, c = 4.667 Å, α = 90.00°, β = 90.00° and γ = 90.00°. The inequivalent atoms are Na at (0.122, 0.378, 0.000), Y at (0.201, 0.701, 0.500) and Ru at (0.000, 0.000, 0.000).

The calculation puts the distance to the lowest polymorph of the same formula at 0.0 meV per atom. The total energy comes out at -4.32 eV/atom. As for the formation energy: 646 meV/atom.



A relaxed structure of NaY5Ru4. Source: the Alexandria database, functional GGA-PBE.

It has space group P4/mmm (No. 123), with a = 3.419 Å, b = 3.419 Å, c = 19.511 Å, α = 90.00°, β = 90.00° and γ = 90.00°. The inequivalent atoms are Na at (0.000, 0.000, 0.000), Y at (0.500, 0.500, 0.153), Y at (0.500, 0.500, 0.326), Y at (0.500, 0.500, 0.500), Ru at (0.000, 0.000, 0.232) and Ru at (0.000, 0.000, 0.412).

The total energy comes out at -7.34 eV/atom. As for the formation energy: -263 meV/atom.



A relaxed structure of Na2ZnRu. Source: the Alexandria database, functional GGA-PBE.

It has space group I-42d (No. 122), with a = 7.956 Å, b = 7.956 Å, c = 5.185 Å, α = 90.00°, β = 90.00° and γ = 90.00°. The inequivalent atoms are Na at (0.241, 0.250, 0.125), Zn at (0.000, 0.000, 0.000) and Ru at (0.000, 0.000, 0.500).

The total energy comes out at -2.51 eV/atom. As for the formation energy: 786 meV/atom.